Material: PmYPdRh
Method: DFT, GGA-PBE
State: optimized geometry

Cell: 3.7714 4.5080 5.6513 Å, 90.00 109.49 90.00°
Fractional coordinates of all 4 atoms:
Pm1 0.1419 0.0000 0.2838
Pd1 0.5837 0.5000 0.1674
Y1 0.8640 0.5000 0.7279
Rh1 0.4105 0.0000 0.8209

Results
- DFT total energy: -27.02 eV for the cell shown
- DOS(E_F): 0.648 states/eV per atom
- ΔE_f: -814 meV per atom
- Distance to the lowest polymorph of the same formula: 0.0 meV/atom


Material: Mg3Hg2Ir
Method: DFT, GGA-PBE
State: optimized geometry

Cell: 7.1945 7.1945 7.3295 Å, 90.00 90.00 143.18°
Fractional coordinates of all 12 atoms:
Mg1 0.5000 0.5000 0.7695
Hg1 0.0000 0.0000 0.0000
Mg2 0.8248 0.1752 0.7868
Mg3 0.8248 0.1752 0.2132
Ir1 0.3378 0.6622 0.0000
Mg4 0.5000 0.5000 0.2305
Hg2 0.6661 0.3339 0.5000
Mg5 0.1752 0.8248 0.2132
Mg6 0.1752 0.8248 0.7868
Hg3 0.3339 0.6661 0.5000
Ir2 0.6622 0.3378 0.0000
Hg4 0.0000 0.0000 0.5000

Results
- DFT total energy: -31.55 eV for the cell shown
- DOS(E_F): 0.308 states/eV per atom
- ΔE_f: -254 meV per atom


Material: NaSr3Ti
Method: DFT, GGA-PBE
State: optimized geometry

Cell: 6.3932 6.3932 6.3932 Å, 90.00 90.00 90.00°
Site moments in Bohr magnetons follow the coordinates.
Fractional coordinates of all 5 atoms:
Sr1 0.0000 0.5000 0.0000  0.11
Sr2 0.5000 0.0000 0.0000  0.08
Sr3 0.0000 0.0000 0.5000  0.12
Na1 0.5000 0.5000 0.5000  -0.01
Ti1 0.0000 0.0000 0.0000  2.09

Results
- DFT total energy: -11.25 eV for the cell shown
- DOS(E_F): 2.127 states/eV per atom
- ΔE_f: 602 meV per atom
- Distance to the lowest polymorph of the same formula: 0.0 meV/atom


Material: SmErTeS
Method: DFT, GGA-PBE
State: optimized geometry

Cell: 4.0286 4.0289 7.5930 Å, 90.00 105.39 120.00°
Fractional coordinates of all 4 atoms:
Er1 0.4973 0.1466 0.6590
Te1 0.9736 0.3848 0.3737
Sm1 0.1079 0.9519 0.0750
S1 0.2991 0.5475 0.8619

Results
- DFT total energy: -23.24 eV for the cell shown
- DOS(E_F): 0.077 states/eV per atom
- Formation energy (no corrections): -1.67 eV per atom